Entry 1:
# LiTh2TlRu | the Alexandria database | GGA-PBE | optimized geometry
data_LiTh2TlRu
_symmetry_space_group_name_H-M 'P 1'
_symmetry_Int_Tables_number 1
_cell_length_a 8.143
_cell_length_b 3.912
_cell_length_c 8.418
_cell_angle_alpha 90.00
_cell_angle_beta 108.19
_cell_angle_gamma 90.00
loop_
_symmetry_equiv_pos_as_xyz
'x,y,z'
loop_
_atom_site_label
_atom_site_type_symbol
_atom_site_fract_x
_atom_site_fract_y
_atom_site_fract_z
Li1 Li 0.139 0.250 0.071
Li2 Li 0.861 0.750 0.929
Th1 Th 0.148 0.750 0.414
Th2 Th 0.493 0.250 0.773
Th3 Th 0.507 0.750 0.227
Th4 Th 0.852 0.250 0.586
Tl1 Tl 0.185 0.750 0.837
Tl2 Tl 0.815 0.250 0.163
Ru1 Ru 0.381 0.250 0.385
Ru2 Ru 0.619 0.750 0.615
# **ΔE_f**: -0.281 eV/atom
# **Mass density**: 10.12 g cm⁻³

=====

Entry 2:
# CsPa2Se5 | the Alexandria database | GGA-PBE | optimized geometry
data_CsPa2Se5
_symmetry_space_group_name_H-M 'P 1'
_symmetry_Int_Tables_number 1
_cell_length_a 8.649
_cell_length_b 8.649
_cell_length_c 8.649
_cell_angle_alpha 150.41
_cell_angle_beta 130.34
_cell_angle_gamma 58.87
loop_
_symmetry_equiv_pos_as_xyz
'x,y,z'
loop_
_atom_site_label
_atom_site_type_symbol
_atom_site_fract_x
_atom_site_fract_y
_atom_site_fract_z
Cs1 Cs 0.000 0.000 0.000
Pa1 Pa 0.315 0.815 0.500
Pa2 Pa 0.685 0.185 0.500
Se1 Se 0.088 0.340 0.748
Se2 Se 0.408 0.660 0.748
Se3 Se 0.500 0.000 0.500
Se4 Se 0.592 0.340 0.252
Se5 Se 0.912 0.660 0.252
# **Mass density**: 6.80 g cm⁻³
# **Distance to the lowest polymorph of the same formula**: 0.043 eV/atom
# **E_form (uncorrected)**: -11.18 eV per formula unit

=====

Entry 3:
# MnNbGe2 | the Alexandria database | GGA-PBE | optimized geometry
data_MnNbGe2
_symmetry_space_group_name_H-M 'P 1'
_symmetry_Int_Tables_number 1
_cell_length_a 9.531
_cell_length_b 9.531
_cell_length_c 9.531
_cell_angle_alpha 17.88
_cell_angle_beta 17.88
_cell_angle_gamma 17.88
loop_
_symmetry_equiv_pos_as_xyz
'x,y,z'
loop_
_atom_site_label
_atom_site_type_symbol
_atom_site_fract_x
_atom_site_fract_y
_atom_site_fract_z
Mn1 Mn 0.000 0.000 0.000
Nb1 Nb 0.500 0.500 0.500
Ge1 Ge 0.088 0.088 0.088
Ge2 Ge 0.912 0.912 0.912
# **ΔE_f**: 0.187 eV/atom
# **Mass density**: 6.83 g cm⁻³
# **Distance to the lowest polymorph of the same formula**: 0.221 eV/atom

=====

Entry 4:
# KMnSb3 | the Alexandria database | GGA-PBE | optimized geometry
data_KMnSb3
_symmetry_space_group_name_H-M 'P 1'
_symmetry_Int_Tables_number 1
_cell_length_a 5.152
_cell_length_b 5.152
_cell_length_c 5.152
_cell_angle_alpha 90.00
_cell_angle_beta 90.00
_cell_angle_gamma 90.00
loop_
_symmetry_equiv_pos_as_xyz
'x,y,z'
loop_
_atom_site_label
_atom_site_type_symbol
_atom_site_fract_x
_atom_site_fract_y
_atom_site_fract_z
K1 K 0.000 0.000 0.000
Mn1 Mn 0.500 0.500 0.500
Sb1 Sb 0.000 0.500 0.500
Sb2 Sb 0.500 0.000 0.500
Sb3 Sb 0.500 0.500 0.000
# **Mass density**: 5.58 g cm⁻³
# **E_form (uncorrected)**: 1.14 eV per formula unit

=====

Listing M_tot for the structures above in their given order: 0.00; 0.14; 0.86; 0.00 μB/atom.